i:
Entry from the Alexandria database: a geometry-optimized AcPr2Nd7 structure (GGA-PBE).

Summary:
Total magnetic moment = 0.00 Bohr magnetons per cell

Geometry as CIF:
```
data_AcPr2Nd7
_space_group_name_H-M_alt 'C m m m'
_space_group_IT_number 65
_space_group_name_Hall '-C 2 2'
_cell_length_a 12.174
_cell_length_b 17.449
_cell_length_c 3.619
_cell_angle_alpha 90.00
_cell_angle_beta 90.00
_cell_angle_gamma 90.00
loop_
_atom_site_label
_atom_site_fract_x
_atom_site_fract_y
_atom_site_fract_z
Ac1 0.000 0.000 0.000
Pr1 0.000 0.177 0.500
Nd1 0.000 0.328 0.000
Nd2 0.000 0.500 0.500
Nd3 0.242 0.369 0.500
```

ii:
Entry from the Alexandria database: a geometry-optimized AcPr2Nd7 structure (GGA-PBE).

Summary:
Total magnetic moment = 0.00 Bohr magnetons per cell

Geometry as CIF:
```
data_AcPr2Nd7
_space_group_name_H-M_alt 'C m m m'
_space_group_IT_number 65
_space_group_name_Hall '-C 2 2'
_cell_length_a 8.982
_cell_length_b 16.564
_cell_length_c 5.743
_cell_angle_alpha 90.00
_cell_angle_beta 90.00
_cell_angle_gamma 90.00
loop_
_atom_site_label
_atom_site_fract_x
_atom_site_fract_y
_atom_site_fract_z
Ac1 0.000 0.000 0.000
Pr1 0.000 0.298 0.500
Nd1 0.000 0.233 0.000
Nd2 0.000 0.500 0.500
Nd3 0.181 0.117 0.500
```

Stability, lowest: ii

i:
Entry from the Alexandria database: a geometry-optimized AcPr3Nd4 structure (GGA-PBE).

Summary:
Total magnetic moment = 0.00 Bohr magnetons per cell

Geometry as CIF:
```
data_AcPr3Nd4
_space_group_name_H-M_alt 'P m n a'
_space_group_IT_number 53
_space_group_name_Hall '-P 2ac 2'
_cell_length_a 10.568
_cell_length_b 7.458
_cell_length_c 7.455
_cell_angle_alpha 90.00
_cell_angle_beta 90.00
_cell_angle_gamma 90.00
loop_
_atom_site_label
_atom_site_fract_x
_atom_site_fract_y
_atom_site_fract_z
Ac1 0.000 0.000 0.000
Pr1 0.000 0.500 0.500
Pr2 0.250 0.254 0.250
Nd1 0.000 0.000 0.500
Nd2 0.000 0.500 0.000
Nd3 0.250 0.254 0.750
```

ii:
Entry from the Alexandria database: a geometry-optimized AcPr3Nd4 structure (GGA-PBE).

Summary:
Total magnetic moment = 0.00 Bohr magnetons per cell

Geometry as CIF:
```
data_AcPr3Nd4
_space_group_name_H-M_alt 'P m n 21'
_space_group_IT_number 31
_space_group_name_Hall 'P 2ac -2'
_cell_length_a 12.125
_cell_length_b 7.521
_cell_length_c 6.497
_cell_angle_alpha 90.00
_cell_angle_beta 90.00
_cell_angle_gamma 90.00
loop_
_atom_site_label
_atom_site_fract_x
_atom_site_fract_y
_atom_site_fract_z
Ac1 0.000 0.126 0.000
Pr1 0.000 0.871 0.497
Pr2 0.249 0.129 0.661
Nd1 0.000 0.381 0.493
Nd2 0.000 0.623 0.995
Nd3 0.248 0.622 0.667
```

Stability, lowest: ii

i:
Entry from the Alexandria database: a geometry-optimized Ac2PrNd3 structure (GGA-PBE).

Summary:
Total magnetic moment = 0.00 Bohr magnetons per cell

Geometry as CIF:
```
data_Ac2PrNd3
_space_group_name_H-M_alt 'P n n m'
_space_group_IT_number 58
_space_group_name_Hall '-P 2 2n'
_cell_length_a 6.867
_cell_length_b 18.949
_cell_length_c 3.656
_cell_angle_alpha 90.00
_cell_angle_beta 90.00
_cell_angle_gamma 90.00
loop_
_atom_site_label
_atom_site_fract_x
_atom_site_fract_y
_atom_site_fract_z
Ac1 0.217 0.190 0.000
Pr1 0.000 0.000 0.000
Nd1 0.000 0.500 0.000
Nd2 0.214 0.361 0.500
```

ii:
Entry from the Alexandria database: a geometry-optimized Ac2PrNd3 structure (GGA-PBE).

Summary:
Total magnetic moment = 0.00 Bohr magnetons per cell

Geometry as CIF:
```
data_Ac2PrNd3
_space_group_name_H-M_alt 'C 1 2/m 1'
_space_group_IT_number 12
_space_group_name_Hall '-C 2y'
_cell_length_a 24.066
_cell_length_b 3.802
_cell_length_c 10.211
_cell_angle_alpha 90.00
_cell_angle_beta 93.85
_cell_angle_gamma 90.00
loop_
_atom_site_label
_atom_site_fract_x
_atom_site_fract_y
_atom_site_fract_z
Ac1 0.072 0.000 0.444
Ac2 0.180 0.500 0.238
Pr1 0.061 0.000 0.084
Nd1 0.059 0.500 0.771
Nd2 0.186 0.000 0.916
Nd3 0.198 0.500 0.604
```

Stability, lowest: i

i:
Entry from the Alexandria database: a geometry-optimized Ac3Pr7Nd2 structure (GGA-PBE).

Summary:
Total magnetic moment = 0.00 Bohr magnetons per cell

Geometry as CIF:
```
data_Ac3Pr7Nd2
_space_group_name_H-M_alt 'P 1 2/m 1'
_space_group_IT_number 10
_space_group_name_Hall '-P 2y'
_cell_length_a 3.839
_cell_length_b 5.955
_cell_length_c 21.120
_cell_angle_alpha 90.00
_cell_angle_beta 95.23
_cell_angle_gamma 90.00
loop_
_atom_site_label
_atom_site_fract_x
_atom_site_fract_y
_atom_site_fract_z
Ac1 0.000 0.000 0.000
Ac2 0.321 0.500 0.643
Pr1 0.088 0.500 0.174
Pr2 0.217 0.000 0.435
Pr3 0.429 0.000 0.859
Pr4 0.500 0.500 0.000
Nd1 0.141 0.000 0.281
```

ii:
Entry from the Alexandria database: a geometry-optimized Ac3Pr7Nd2 structure (GGA-PBE).

Summary:
Total magnetic moment = 0.00 Bohr magnetons per cell

Geometry as CIF:
```
data_Ac3Pr7Nd2
_space_group_name_H-M_alt 'P 1 2/m 1'
_space_group_IT_number 10
_space_group_name_Hall '-P 2y'
_cell_length_a 6.169
_cell_length_b 3.793
_cell_length_c 19.795
_cell_angle_alpha 90.00
_cell_angle_beta 92.90
_cell_angle_gamma 90.00
loop_
_atom_site_label
_atom_site_fract_x
_atom_site_fract_y
_atom_site_fract_z
Ac1 0.000 0.000 0.000
Ac2 0.277 0.500 0.635
Pr1 0.198 0.500 0.147
Pr2 0.244 0.000 0.462
Pr3 0.301 0.000 0.826
Pr4 0.500 0.500 0.000
Nd1 0.214 0.000 0.293
```

Stability, lowest: i

i:
Entry from the Alexandria database: a geometry-optimized Ac5Pr2Nd12 structure (GGA-PBE).

Summary:
Total magnetic moment = 0.00 Bohr magnetons per cell

Geometry as CIF:
```
data_Ac5Pr2Nd12
_space_group_name_H-M_alt 'C 1 2/m 1'
_space_group_IT_number 12
_space_group_name_Hall '-C 2y'
_cell_length_a 23.174
_cell_length_b 7.434
_cell_length_c 9.067
_cell_angle_alpha 90.00
_cell_angle_beta 110.18
_cell_angle_gamma 90.00
loop_
_atom_site_label
_atom_site_fract_x
_atom_site_fract_y
_atom_site_fract_z
Ac1 0.000 0.000 0.000
Ac2 0.153 0.500 0.588
Ac3 0.246 0.000 0.987
Pr1 0.000 0.255 0.500
Nd1 0.047 0.500 0.190
Nd2 0.106 0.262 0.878
Nd3 0.144 0.000 0.561
Nd4 0.198 0.253 0.289
```

ii:
Entry from the Alexandria database: a geometry-optimized Ac5Pr2Nd12 structure (GGA-PBE).

Summary:
Total magnetic moment = 0.00 Bohr magnetons per cell

Geometry as CIF:
```
data_Ac5Pr2Nd12
_space_group_name_H-M_alt 'C 1 2/m 1'
_space_group_IT_number 12
_space_group_name_Hall '-C 2y'
_cell_length_a 19.477
_cell_length_b 8.917
_cell_length_c 9.080
_cell_angle_alpha 90.00
_cell_angle_beta 110.91
_cell_angle_gamma 90.00
loop_
_atom_site_label
_atom_site_fract_x
_atom_site_fract_y
_atom_site_fract_z
Ac1 0.000 0.000 0.000
Ac2 0.209 0.500 0.693
Ac3 0.250 0.000 0.736
Pr1 0.000 0.328 0.500
Nd1 0.039 0.500 0.183
Nd2 0.060 0.000 0.667
Nd3 0.131 0.191 0.365
Nd4 0.135 0.270 0.948
```

Stability, lowest: ii

i:
Entry from the Alexandria database: a geometry-optimized AcPr4Nd7 structure (GGA-PBE).

Summary:
Total magnetic moment = 0.54 Bohr magnetons per cell

Geometry as CIF:
```
data_AcPr4Nd7
_space_group_name_H-M_alt 'C 1 2/m 1'
_space_group_IT_number 12
_space_group_name_Hall '-C 2y'
_cell_length_a 17.227
_cell_length_b 6.255
_cell_length_c 10.340
_cell_angle_alpha 90.00
_cell_angle_beta 126.77
_cell_angle_gamma 90.00
loop_
_atom_site_label
_atom_site_fract_x
_atom_site_fract_y
_atom_site_fract_z
Ac1 0.000 0.000 0.000
Pr1 0.043 0.500 0.715
Pr2 0.187 0.500 0.365
Nd1 0.000 0.500 0.000
Nd2 0.077 0.000 0.439
Nd3 0.210 0.000 0.881
Nd4 0.231 0.500 0.713
```

ii:
Entry from the Alexandria database: a geometry-optimized AcPr4Nd7 structure (GGA-PBE).

Summary:
Total magnetic moment = 0.00 Bohr magnetons per cell

Geometry as CIF:
```
data_AcPr4Nd7
_space_group_name_H-M_alt 'P -1'
_space_group_IT_number 2
_space_group_name_Hall '-P 1'
_cell_length_a 6.491
_cell_length_b 7.473
_cell_length_c 9.287
_cell_angle_alpha 89.93
_cell_angle_beta 76.46
_cell_angle_gamma 89.88
loop_
_atom_site_label
_atom_site_fract_x
_atom_site_fract_y
_atom_site_fract_z
Ac1 0.000 0.000 0.000
Pr1 0.218 0.500 0.331
Pr2 0.282 0.252 0.666
Nd1 0.000 0.500 0.000
Nd2 0.223 0.000 0.335
Nd3 0.281 0.747 0.667
Nd4 0.500 0.252 0.000
```

Stability, lowest: i